DFT (PBE) results for an optimized crystal structure of LiBe2Mo.

Volume = 47.4 Å³/f.u.
Energy relative to the lowest polymorph listed for this composition = 0 meV per atom
Calculated total energy = -4.926 eV/atom
Magnetization = 0.00 μB/atom

Cell lengths 4.390, 4.390, 2.473 Å; angles 90.10, 90.10, 95.57 degrees
Fractional coordinates of all 4 atoms:
Be1 0.500 0.500 0.000
Be2 0.000 0.000 0.000
Li1 0.500 0.000 0.500
Mo1 0.000 0.500 0.500


DFT (PBE) results for an optimized crystal structure of LiBe2Mo.

Volume = 46.1 Å³/f.u.
Energy relative to the lowest polymorph listed for this composition = 455 meV per atom
Calculated total energy = -4.471 eV/atom
Magnetization = 0.00 μB/atom

Cell lengths 6.148, 6.148, 4.986 Å; angles 51.94, 51.94, 90.00 degrees
Fractional coordinates of all 8 atoms:
Be1 0.375 0.396 0.750
Be2 0.875 0.854 0.750
Li1 0.500 0.500 0.000
Mo1 0.750 0.250 0.500
Li2 0.250 0.750 0.500
Mo2 0.000 0.000 0.000
Be3 0.146 0.625 0.250
Be4 0.604 0.125 0.250


DFT (PBE) results for an optimized crystal structure of LiBe2Mo.

Volume = 52.3 Å³/f.u.
Energy relative to the lowest polymorph listed for this composition = 286 meV per atom
Calculated total energy = -4.640 eV/atom
Magnetization = 0.07 μB/atom

Cell lengths 4.437, 4.437, 5.079 Å; angles 82.86, 82.86, 31.83 degrees
Each line ends with the local moment (μB).
Fractional coordinates of all 4 atoms:
Mo1 0.250 0.250 0.250  0.26
Be1 0.502 0.502 0.440  0.00
Li1 0.750 0.750 0.750  0.00
Be2 0.998 0.998 0.060  0.00


DFT (PBE) results for an optimized crystal structure of LiBe2Mo.

Volume = 51.7 Å³/f.u.
Energy relative to the lowest polymorph listed for this composition = 224 meV per atom
Calculated total energy = -4.702 eV/atom
Magnetization = 0.00 μB/atom

Cell lengths 8.693, 8.693, 8.693 Å; angles 17.47, 17.47, 17.47 degrees
Fractional coordinates of all 4 atoms:
Be1 0.498 0.498 0.498
Be2 0.002 0.002 0.002
Mo1 0.750 0.750 0.750
Li1 0.250 0.250 0.250


DFT (PBE) results for an optimized crystal structure of LiBe2Mo.

Volume = 49.3 Å³/f.u.
Energy relative to the lowest polymorph listed for this composition = 65 meV per atom
Calculated total energy = -4.861 eV/atom
Magnetization = 0.00 μB/atom

Cell lengths 3.382, 2.613, 6.174 Å; angles 64.69, 90.00, 90.00 degrees
Fractional coordinates of all 4 atoms:
Mo1 0.500 0.750 0.750
Be1 0.000 0.473 0.529
Li1 0.500 0.250 0.250
Be2 0.000 0.027 0.971


DFT (PBE) results for an optimized crystal structure of LiBe3Mo.

Volume = 84.7 Å³/f.u.
Energy relative to the lowest polymorph listed for this composition = 535 meV per atom
Calculated total energy = -3.617 eV/atom
Magnetization = 0.00 μB/atom

Cell lengths 4.392, 4.392, 4.392 Å; angles 90.00, 90.00, 90.00 degrees
Fractional coordinates of all 5 atoms:
Be1 0.000 0.500 0.000
Mo1 0.000 0.000 0.000
Be2 0.000 0.000 0.500
Li1 0.500 0.500 0.500
Be3 0.500 0.000 0.000


DFT (PBE) results for an optimized crystal structure of LiBeMo4.

Volume = 99.2 Å³/f.u.
Calculated total energy = -7.443 eV/atom
Magnetization = 0.00 μB/atom

Cell lengths 5.197, 5.197, 5.197 Å; angles 60.00, 60.00, 60.00 degrees
Fractional coordinates of all 6 atoms:
Mo1 0.876 0.375 0.375
Be1 0.750 0.750 0.750
Mo2 0.375 0.375 0.375
Li1 0.000 0.000 0.000
Mo3 0.375 0.375 0.876
Mo4 0.375 0.876 0.375


DFT (PBE) results for an optimized crystal structure of LiBe2Mo.

Volume = 43.6 Å³/f.u.
Energy relative to the lowest polymorph listed for this composition = 262 meV per atom
Calculated total energy = -4.664 eV/atom
Magnetization = 0.15 μB/atom

Cell lengths 4.081, 4.081, 4.081 Å; angles 125.29, 125.29, 81.06 degrees
Each line ends with the local moment (μB).
Fractional coordinates of all 4 atoms:
Li1 0.500 0.500 0.000  0.01
Mo1 0.750 0.250 0.500  0.56
Be1 0.000 0.000 0.000  -0.01
Be2 0.250 0.750 0.500  -0.01


DFT (PBE) results for an optimized crystal structure of LiBe2Mo.

Volume = 47.4 Å³/f.u.
Energy relative to the lowest polymorph listed for this composition = 48 meV per atom
Calculated total energy = -4.878 eV/atom
Magnetization = 0.04 μB/atom

Cell lengths 4.738, 4.738, 4.448 Å; angles 73.07, 73.07, 29.88 degrees
Each line ends with the local moment (μB).
Fractional coordinates of all 4 atoms:
Mo1 0.275 0.275 0.182  0.14
Li1 0.478 0.478 0.562  0.00
Be1 0.025 0.025 0.043  0.00
Be2 0.722 0.722 0.712  0.00


DFT (PBE) results for an optimized crystal structure of Li2BeMoN4.

Volume = 92.4 Å³/f.u.
Calculated total energy = -6.669 eV/atom
Formation energy without anion corrections = -208 meV per atom
Magnetization = 0.25 μB/atom

Cell lengths 4.620, 4.621, 5.424 Å; angles 115.21, 115.21, 89.99 degrees
Each line ends with the local moment (μB).
Fractional coordinates of all 8 atoms:
N1 0.871 0.421 0.213  0.37
Li1 0.486 0.986 0.972  0.03
N2 0.342 0.792 0.213  0.37
Mo1 0.736 0.736 0.472  -0.17
Li2 0.236 0.236 0.472  0.03
Be1 0.986 0.486 0.972  -0.01
N3 0.679 0.601 0.730  0.37
N4 0.051 0.130 0.730  0.37